# Sr4Mn3Cl2O8

Sr4Mn3Cl2O8 after structural relaxation (PBE+U, Alexandria).

The structure belongs to space group I4/mmm (No. 139); the cell edges are 3.934, 3.934 and 32.737 Å and the angles 90.00°, 90.00° and 90.00°. The distinct sites, in fractional coordinates, are Sr at (0.000, 0.000, 0.057), Sr at (0.000, 0.000, 0.178), Mn at (0.000, 0.000, 0.380), Mn at (0.000, 0.000, 0.500), Cl at (0.000, 0.000, 0.286), O at (0.000, 0.000, 0.439), O at (0.000, 0.500, 0.000) and O at (0.000, 0.500, 0.129).

The crystal system is tetragonal. The uncorrected energy is -6.4833 eV per atom.